# TcAsW2 | the Alexandria database | PBE | optimized geometry
# magnetization = 0.00 Bohr magnetons per cell
# space group = R-3m (166)
# E = -9.914 eV/atom
# mass density = 14219 kg/m³
# energy relative to the elements = 1.266 eV per formula unit
data_TcAsW2
_chemical_formula_sum 'Tc1 As1 W2'
_symmetry_space_group_name_H-M 'P 1'
_symmetry_Int_Tables_number 1
_cell_length_a 9.0472
_cell_length_b 9.0472
_cell_length_c 9.0472
_cell_angle_alpha 18.21
_cell_angle_beta 18.21
_cell_angle_gamma 18.21
loop_
_symmetry_equiv_pos_as_xyz
'x,y,z'
loop_
_atom_site_label
_atom_site_type_symbol
_atom_site_fract_x
_atom_site_fract_y
_atom_site_fract_z
Tc1 Tc 0.0000 0.0000 0.0000
As1 As 0.5000 0.5000 0.5000
W1 W 0.2511 0.2511 0.2511
W2 W 0.7489 0.7489 0.7489

***

# Zr2MnCu | the Alexandria database | PBE | optimized geometry
# magnetization = 0.00 Bohr magnetons per cell
# space group = Fm-3m (225)
# E = -7.668 eV/atom
# mass density = 7402 kg/m³
# energy relative to the elements = -0.312 eV per formula unit
# distance to the lowest polymorph of the same formula = 26 meV/atom
data_Zr2MnCu
_chemical_formula_sum 'Zr2 Mn1 Cu1'
_symmetry_space_group_name_H-M 'P 1'
_symmetry_Int_Tables_number 1
_cell_length_a 4.5704
_cell_length_b 4.5704
_cell_length_c 4.5704
_cell_angle_alpha 60.00
_cell_angle_beta 60.00
_cell_angle_gamma 60.00
loop_
_symmetry_equiv_pos_as_xyz
'x,y,z'
loop_
_atom_site_label
_atom_site_type_symbol
_atom_site_fract_x
_atom_site_fract_y
_atom_site_fract_z
Zr1 Zr 0.2500 0.2500 0.2500
Zr2 Zr 0.7500 0.7500 0.7500
Mn1 Mn 0.0000 0.0000 0.0000
Cu1 Cu 0.5000 0.5000 0.5000

***

# CaMnP2Ru | the Alexandria database | PBE | optimized geometry
# magnetization = 1.01 Bohr magnetons per cell
# space group = I-4m2 (119)
# E = -7.068 eV/atom
# mass density = 5435 kg/m³
# energy relative to the elements = -4.073 eV per formula unit
data_CaMnP2Ru
_chemical_formula_sum 'Ca1 Mn1 P2 Ru1'
_symmetry_space_group_name_H-M 'P 1'
_symmetry_Int_Tables_number 1
_cell_length_a 5.6792
_cell_length_b 5.6792
_cell_length_c 5.6792
_cell_angle_alpha 138.75
_cell_angle_beta 138.75
_cell_angle_gamma 59.76
loop_
_symmetry_equiv_pos_as_xyz
'x,y,z'
loop_
_atom_site_label
_atom_site_type_symbol
_atom_site_fract_x
_atom_site_fract_y
_atom_site_fract_z
Ca1 Ca 0.0000 0.0000 0.0000
Mn1 Mn 0.7500 0.2500 0.5000
P1 P 0.3650 0.3650 0.0000
P2 P 0.6350 0.6350 0.0000
Ru1 Ru 0.2500 0.7500 0.5000

***

# ScTlCdHg | the Alexandria database | PBE | optimized geometry
# magnetization = 0.00 Bohr magnetons per cell
# space group = F-43m (216)
# E = -2.626 eV/atom
# mass density = 10146 kg/m³
# energy relative to the elements = -0.589 eV per formula unit
# distance to the lowest polymorph of the same formula = 46 meV/atom
data_ScTlCdHg
_chemical_formula_sum 'Sc1 Tl1 Cd1 Hg1'
_symmetry_space_group_name_H-M 'P 1'
_symmetry_Int_Tables_number 1
_cell_length_a 5.0679
_cell_length_b 5.0679
_cell_length_c 5.0679
_cell_angle_alpha 60.00
_cell_angle_beta 60.00
_cell_angle_gamma 60.00
loop_
_symmetry_equiv_pos_as_xyz
'x,y,z'
loop_
_atom_site_label
_atom_site_type_symbol
_atom_site_fract_x
_atom_site_fract_y
_atom_site_fract_z
Sc1 Sc 0.0000 0.0000 0.0000
Tl1 Tl 0.2500 0.2500 0.2500
Cd1 Cd 0.5000 0.5000 0.5000
Hg1 Hg 0.7500 0.7500 0.7500

***

# NaHoTlGa | the Alexandria database | PBE | optimized geometry
# magnetization = 0.00 Bohr magnetons per cell
# space group = F-43m (216)
# E = -3.052 eV/atom
# mass density = 7858 kg/m³
# energy relative to the elements = -0.918 eV per formula unit
data_NaHoTlGa
_chemical_formula_sum 'Na1 Ho1 Tl1 Ga1'
_symmetry_space_group_name_H-M 'P 1'
_symmetry_Int_Tables_number 1
_cell_length_a 5.1686
_cell_length_b 5.1686
_cell_length_c 5.1686
_cell_angle_alpha 60.00
_cell_angle_beta 60.00
_cell_angle_gamma 60.00
loop_
_symmetry_equiv_pos_as_xyz
'x,y,z'
loop_
_atom_site_label
_atom_site_type_symbol
_atom_site_fract_x
_atom_site_fract_y
_atom_site_fract_z
Na1 Na 0.0000 0.0000 0.0000
Ho1 Ho 0.5000 0.5000 0.5000
Tl1 Tl 0.2500 0.2500 0.2500
Ga1 Ga 0.7500 0.7500 0.7500

***

# Sr2CrCl | the Alexandria database | PBE | optimized geometry
# magnetization = 4.88 Bohr magnetons per cell
# space group = Cmm2 (35)
# E = -3.912 eV/atom
# mass density = 2877 kg/m³
# formation energy without anion corrections = -19.7 kJ per mole of atoms
# distance to the lowest polymorph of the same formula = 215 meV/atom
data_Sr2CrCl
_chemical_formula_sum 'Sr2 Cr1 Cl1'
_symmetry_space_group_name_H-M 'P 1'
_symmetry_Int_Tables_number 1
_cell_length_a 3.9187
_cell_length_b 3.9187
_cell_length_c 9.8733
_cell_angle_alpha 90.00
_cell_angle_beta 90.00
_cell_angle_gamma 90.09
loop_
_symmetry_equiv_pos_as_xyz
'x,y,z'
loop_
_atom_site_label
_atom_site_type_symbol
_atom_site_fract_x
_atom_site_fract_y
_atom_site_fract_z
Sr1 Sr 0.0000 0.0000 0.0000
Sr2 Sr 0.5000 0.5000 0.3523
Cr1 Cr 0.0000 0.0000 0.5623
Cl1 Cl 0.5000 0.5000 0.8785

***

# ThZnBr | the Alexandria database | PBE | optimized geometry
# magnetization = 0.00 Bohr magnetons per cell
# space group = C2/m (12)
# E = -4.321 eV/atom
# mass density = 6921 kg/m³
# formation energy without anion corrections = -83.5 kJ per mole of atoms
data_ThZnBr
_chemical_formula_sum 'Th2 Zn2 Br2'
_symmetry_space_group_name_H-M 'P 1'
_symmetry_Int_Tables_number 1
_cell_length_a 4.2810
_cell_length_b 4.2810
_cell_length_c 11.6518
_cell_angle_alpha 100.16
_cell_angle_beta 100.16
_cell_angle_gamma 60.01
loop_
_symmetry_equiv_pos_as_xyz
'x,y,z'
loop_
_atom_site_label
_atom_site_type_symbol
_atom_site_fract_x
_atom_site_fract_y
_atom_site_fract_z
Th1 Th 0.0542 0.0542 0.1696
Th2 Th 0.9458 0.9458 0.8304
Zn1 Zn 0.3399 0.3399 0.0206
Zn2 Zn 0.6601 0.6601 0.9794
Br1 Br 0.2259 0.2259 0.6642
Br2 Br 0.7741 0.7741 0.3358

***

# CsSrTcTe2 | the Alexandria database | PBE | optimized geometry
# magnetization = 3.91 Bohr magnetons per cell
# space group = P4/mmm (123)
# E = -2.833 eV/atom
# mass density = 4227 kg/m³
# formation energy without anion corrections = 96.9 kJ per mole of atoms
data_CsSrTcTe2
_chemical_formula_sum 'Cs1 Sr1 Tc1 Te2'
_symmetry_space_group_name_H-M 'P 1'
_symmetry_Int_Tables_number 1
_cell_length_a 6.5684
_cell_length_b 6.5684
_cell_length_c 5.2238
_cell_angle_alpha 90.00
_cell_angle_beta 90.00
_cell_angle_gamma 90.00
loop_
_symmetry_equiv_pos_as_xyz
'x,y,z'
loop_
_atom_site_label
_atom_site_type_symbol
_atom_site_fract_x
_atom_site_fract_y
_atom_site_fract_z
Cs1 Cs 0.0000 0.0000 0.0000
Sr1 Sr 0.5000 0.5000 0.5000
Tc1 Tc 0.0000 0.0000 0.5000
Te1 Te 0.0000 0.5000 0.0000
Te2 Te 0.5000 0.0000 0.0000

***

# Ba2LaP | the Alexandria database | PBE | optimized geometry
# magnetization = 0.00 Bohr magnetons per cell
# space group = Cm (8)
# E = -4.069 eV/atom
# mass density = 4204 kg/m³
# energy relative to the elements = -2.092 eV per formula unit
data_Ba2LaP
_chemical_formula_sum 'Ba2 La1 P1'
_symmetry_space_group_name_H-M 'P 1'
_symmetry_Int_Tables_number 1
_cell_length_a 5.3832
_cell_length_b 5.3832
_cell_length_c 8.8836
_cell_angle_alpha 105.61
_cell_angle_beta 105.61
_cell_angle_gamma 45.48
loop_
_symmetry_equiv_pos_as_xyz
'x,y,z'
loop_
_atom_site_label
_atom_site_type_symbol
_atom_site_fract_x
_atom_site_fract_y
_atom_site_fract_z
Ba1 Ba 0.0000 0.0000 0.0000
Ba2 Ba 0.1595 0.1595 0.6030
La1 La 0.3309 0.3309 0.3015
P1 P 0.6200 0.6200 0.3018